No. 1
The following is a GGA-PBE calculation of an optimized crystal structure of VC3Br, from Alexandria.

abc: 3.8742 3.8742 3.8742
angles: 90.00 90.00 90.00
Space group Pm-3m (No. 221)
One atom of each set of equivalent atoms:
V1 0.0000 0.0000 0.0000 [1 per cell]
C1 0.0000 0.5000 0.5000 [3 per cell]
Br1 0.5000 0.5000 0.5000 [1 per cell]

Calculated values
Total energy ... -4.346 eV per atom
Raw formation energy ... 3347 meV/atom

---

No. 2
The following is a GGA-PBE calculation of an optimized crystal structure of Cs2PuAg2I6, from Alexandria.

abc: 15.4162 8.8727 9.0432
angles: 90.00 121.71 90.00
Space group C2/m (No. 12)
One atom of each set of equivalent atoms:
Cs1 0.2371 0.0000 0.2114 [4 per cell]
Pu1 0.0000 0.0000 0.5000 [2 per cell]
Ag1 0.0495 0.5000 0.1874 [4 per cell]
I1 0.0516 0.2403 0.7975 [8 per cell]
I2 0.2364 0.0000 0.6389 [4 per cell]

Calculated values
Total energy ... -3.733 eV per atom
Raw formation energy ... -911 meV/atom

---

No. 3
The following is a GGA-PBE calculation of an optimized crystal structure of UHgIO6, from Alexandria.

abc: 5.7628 5.7628 10.5910
angles: 90.00 90.00 120.00
Space group P-31c (No. 163)
One atom of each set of equivalent atoms:
U1 0.3333 0.6667 0.2500 [2 per cell]
Hg1 0.0000 0.0000 0.0000 [2 per cell]
I1 0.3333 0.6667 0.7500 [2 per cell]
O1 0.9997 0.3741 0.1466 [12 per cell]

Calculated values
Total energy ... -6.065 eV per atom
Raw formation energy ... -1299 meV/atom

---

No. 4
The following is a GGA-PBE calculation of an optimized crystal structure of Cs2AlNiBr6, from Alexandria.

abc: 7.6787 7.6787 10.4847
angles: 90.00 90.00 90.00
Space group I4/mmm (No. 139)
One atom of each set of equivalent atoms:
Cs1 0.0000 0.5000 0.2500 [4 per cell]
Al1 0.0000 0.0000 0.0000 [2 per cell]
Ni1 0.0000 0.0000 0.5000 [2 per cell]
Br1 0.0000 0.0000 0.2688 [4 per cell]
Br2 0.2314 0.2314 0.0000 [8 per cell]

Calculated values
Total energy ... -3.207 eV per atom
Raw formation energy ... -1080 meV/atom

---

> Which of these has the highest raw formation energy?

VC3Br